Record 1
A plane-wave DFT calculation with PBE-GGA was carried out for TbMgZn after structural relaxation.

Symmetry   No. 194

Cell: 5.0461 5.0461 6.1640 Å, 90.00 90.00 120.00°
Closest atoms and distances in Å follow each position.
Fractional coordinates of all 6 atoms:
Tb 0.3333 0.6667 0.2500  5 Zn 2.91-3.08
Tb 0.6667 0.3333 0.7500  5 Zn 2.91-3.08
Mg 0.0000 0.0000 0.0000  2 Mg 3.08, 6 Tb 3.30, 6 Zn 3.30
Mg 0.0000 0.0000 0.5000  2 Mg 3.08, 6 Zn 3.30, 6 Tb 3.30
Zn 0.3333 0.6667 0.7500  5 Tb 2.91-3.08
Zn 0.6667 0.3333 0.2500  5 Tb 2.91-3.08

Record 2
A plane-wave DFT calculation with PBE-GGA was carried out for U4Re7Ge6 after structural relaxation.

Symmetry   No. 229

Cell: 7.2487 7.2487 7.2487 Å, 109.47 109.47 109.47°
Closest atoms and distances in Å follow each position.
Fractional coordinates of all 17 atoms:
U 0.0000 0.0000 0.5000  6 Re 2.96, 6 Ge 3.00
U 0.0000 0.5000 0.0000  6 Re 2.96, 6 Ge 3.00
U 0.5000 0.0000 0.0000  6 Re 2.96, 6 Ge 3.00
U 0.5000 0.5000 0.5000  6 Re 2.96, 6 Ge 3.00
Re 0.0000 0.0000 0.0000  6 Ge 2.57
Re 0.2500 0.5000 0.7500  4 Ge 2.64, 4 Re 2.96, 4 U 2.96
Re 0.2500 0.7500 0.5000  4 Ge 2.64, 4 Re 2.96, 4 U 2.96
Re 0.5000 0.2500 0.7500  4 Ge 2.64, 4 Re 2.96, 4 U 2.96
Re 0.5000 0.7500 0.2500  4 Ge 2.64, 4 Re 2.96, 4 U 2.96
Re 0.7500 0.2500 0.5000  4 Ge 2.64, 4 Re 2.96, 4 U 2.96
Re 0.7500 0.5000 0.2500  4 Ge 2.64, 4 Re 2.96, 4 U 2.96
Ge 0.0000 0.3070 0.3070  5 Re 2.57-2.64
Ge 0.0000 0.6930 0.6930  5 Re 2.57-2.64
Ge 0.3070 0.0000 0.3070  5 Re 2.57-2.64
Ge 0.3070 0.3070 0.0000  5 Re 2.57-2.64
Ge 0.6930 0.0000 0.6930  5 Re 2.57-2.64
Ge 0.6930 0.6930 0.0000  5 Re 2.57-2.64

Record 3
A plane-wave DFT calculation with PBE-GGA was carried out for CaAcY2 after structural relaxation.

Symmetry   No. 38

Cell: 3.7202 11.3758 11.3758 Å, 18.58 90.00 90.00°
Closest atoms and distances in Å follow each position.
Fractional coordinates of all 4 atoms:
Ca 0.0000 0.0000 0.0000  4 Ca 3.67-3.72, 4 Y 3.77, 2 Ac 3.85
Ac 0.5000 0.8498 0.8498  4 Ac 3.67-3.72, 4 Y 3.79, 2 Ca 3.85
Y 0.0000 0.2278 0.2278  8 Y 3.55-3.72, 4 Ac 3.79
Y 0.5000 0.6207 0.6207  8 Y 3.55-3.72, 4 Ca 3.77

Number 1: density 6.07 g/cm³, energy of formation -0.26 eV/atom, E_tot -2.76 eV/atom. Number 2: density 15.24 g/cm³, energy of formation -0.29 eV/atom, E_tot -9.70 eV/atom. Number 3: density 4.82 g/cm³, energy of formation 0.12 eV/atom, E_tot -4.64 eV/atom.